--- w ---
NbAlIr3 | PBEsol | optimized geometry

Properties
- Calculated volume: 20.8 Å³ per atom
- Spin magnetization: 0.0 μB per formula unit

CIF file:
```
data_NbAlIr3
_cell_length_a 4.7046
_cell_length_b 4.7046
_cell_length_c 4.7046
_cell_angle_alpha 90.00
_cell_angle_beta 90.00
_cell_angle_gamma 90.00
_space_group_name_H-M_alt 'P m -3 m'
_space_group_IT_number 221
_space_group_name_Hall '-P 4 2 3'
loop_
_atom_site_label
_atom_site_type_symbol
_atom_site_fract_x
_atom_site_fract_y
_atom_site_fract_z
Nb1 Nb 0.0000 0.0000 0.0000
Al1 Al 0.5000 0.5000 0.5000
Ir1 Ir 0.0000 0.0000 0.5000
```

***

--- x ---
NbAlIr3 | PBEsol | optimized geometry

Properties
- Calculated volume: 16.7 Å³ per atom
- Spin magnetization: 0.9 μB per formula unit

CIF file:
```
data_NbAlIr3
_cell_length_a 4.3702
_cell_length_b 4.3702
_cell_length_c 4.3702
_cell_angle_alpha 90.00
_cell_angle_beta 90.00
_cell_angle_gamma 90.00
_space_group_name_H-M_alt 'P m -3 m'
_space_group_IT_number 221
_space_group_name_Hall '-P 4 2 3'
loop_
_atom_site_label
_atom_site_type_symbol
_atom_site_fract_x
_atom_site_fract_y
_atom_site_fract_z
Nb1 Nb 0.0000 0.0000 0.0000
Al1 Al 0.5000 0.5000 0.5000
Ir1 Ir 0.0000 0.5000 0.5000
```

***

The relative energies come out as w 771; x 0, with values in meV per atom.